This record from Alexandria via LeMat-Bulk describes crystalline BaAlMo at its relaxed geometry. The functional is PBE-GGA.

Electronic total energy (eV per atom): -4.4341
DOS at the Fermi energy (states/eV/f.u.): 1.59
E_form (eV per atom): 1.06
Crystal system: cubic
ΔE to the lowest computed polymorph (eV per atom): 0.587

Unit cell a=7.105 b=7.105 c=7.105 alpha=90.00 beta=90.00 gamma=90.00
Atoms (fractional coordinates):
Ba  0.000  0.000  0.000
Ba  0.000  0.500  0.500
Ba  0.500  0.000  0.500
Ba  0.500  0.500  0.000
Al  0.000  0.000  0.500
Al  0.000  0.500  0.000
Al  0.500  0.000  0.000
Al  0.500  0.500  0.500
Mo  0.250  0.250  0.250
Mo  0.250  0.750  0.750
Mo  0.750  0.250  0.750
Mo  0.750  0.750  0.250